(1)
Below is a relaxed structure of LiTbO3, with properties calculated at the GGA-PBE level. Values from VASP.

```
&SYSTEM
  ibrav = 0, nat = 10, ntyp = 3
/
ATOMIC_SPECIES
Li 6.94 Li.upf
O 16.00 O.upf
Tb 158.93 Tb.upf
CELL_PARAMETERS angstrom
-1.0027 -3.7530 -3.2814
-2.2190 -4.2758 1.6283
-5.7145 -0.6225 -1.4819
ATOMIC_POSITIONS angstrom
Li -5.3871 -7.0705 -2.0875
Li -3.5492 -1.5808 -1.0476
O -1.5426 -0.9178 -0.8394
O -2.5982 -2.7034 0.4837
O -2.2475 -3.0061 -1.9326
O -6.6887 -5.6452 -1.2024
O -6.3380 -5.9479 -3.6187
O -7.3936 -7.7335 -2.2957
Tb -2.7491 -5.0864 -1.2227
Tb -6.1871 -3.5649 -1.9124
```

Computed properties:
**Energy**: -6.119 eV per atom
**V**: 57.8 Å³/f.u.

(2)
Below is a relaxed structure of Li6Tb2O7, with properties calculated at the GGA-PBE level. Values from VASP.

```
&SYSTEM
  ibrav = 0, nat = 15, ntyp = 3
/
ATOMIC_SPECIES
Li 6.94 Li.upf
O 16.00 O.upf
Tb 158.93 Tb.upf
CELL_PARAMETERS angstrom
4.3872 1.0963 3.2662
-2.0993 5.1305 -2.7114
-4.1195 0.8591 3.5302
ATOMIC_POSITIONS angstrom
Li 2.8828 3.6603 1.6938
Li -0.1656 2.8299 1.6593
Li -2.0425 1.5691 0.9268
Li -0.7037 1.8350 4.1585
Li -2.3110 4.5007 2.6475
Li -1.7288 6.9843 4.0236
O 2.9183 1.9041 2.3712
O 1.1469 4.3125 1.0829
O -0.4092 0.9053 1.8133
O -1.7990 3.4938 0.7729
O -1.0672 6.3134 2.0580
O -0.7393 3.5913 3.4811
O -4.2135 5.1943 1.7025
Tb -0.6070 5.3272 0.0411
Tb 0.6867 5.2987 3.0998
```

Computed properties:
**Energy**: -5.854 eV per atom
**V**: 173.2 Å³/f.u.

(3)
Below is a relaxed structure of LiTbO3, with properties calculated at the GGA-PBE level. Values from VASP.

```
&SYSTEM
  ibrav = 0, nat = 5, ntyp = 3
/
ATOMIC_SPECIES
Li 6.94 Li.upf
O 16.00 O.upf
Tb 158.93 Tb.upf
CELL_PARAMETERS angstrom
3.6376 0.0000 0.0000
0.0000 3.6376 0.0000
0.0000 0.0000 3.6376
ATOMIC_POSITIONS angstrom
Li 1.8188 1.8188 1.8188
O 1.8188 1.8188 0.0000
O 1.8188 0.0000 1.8188
O 0.0000 1.8188 1.8188
Tb 0.0000 0.0000 0.0000
```

Computed properties:
**Energy**: -6.129 eV per atom
**V**: 48.1 Å³/f.u.

(4)
Below is a relaxed structure of Li7TbO6, with properties calculated at the GGA-PBE level. Values from VASP.

```
&SYSTEM
  ibrav = 0, nat = 14, ntyp = 3
/
ATOMIC_SPECIES
Li 6.94 Li.upf
O 16.00 O.upf
Tb 158.93 Tb.upf
CELL_PARAMETERS angstrom
-4.2149 -1.1292 3.5703
5.2793 -1.4813 1.3126
3.8822 4.4818 1.5497
ATOMIC_POSITIONS angstrom
Li 2.1479 -1.1522 2.1704
Li 4.1587 -0.3598 3.5598
Li 0.7120 -0.0348 3.9858
Li 2.2332 1.1775 1.0907
Li 1.0384 2.1038 2.9995
Li 2.7302 0.8098 5.0570
Li 3.9585 1.8602 2.5759
O 2.4661 -0.9765 4.2178
O 3.7203 0.1080 1.6608
O 0.7161 0.3536 2.1072
O 4.5113 1.4101 4.2951
O 1.0537 1.6129 4.9693
O 2.3434 2.9204 1.9557
Tb -0.3356 3.3376 5.1129
```

Computed properties:
**Energy**: -5.268 eV per atom
**V**: 143.0 Å³/f.u.

(5)
Below is a relaxed structure of LiTbO3, with properties calculated at the GGA-PBE level. Values from VASP.

```
&SYSTEM
  ibrav = 0, nat = 20, ntyp = 3
/
ATOMIC_SPECIES
Li 6.94 Li.upf
O 16.00 O.upf
Tb 158.93 Tb.upf
CELL_PARAMETERS angstrom
4.9949 0.0000 0.0000
0.0000 5.7801 0.0000
0.0000 0.0000 7.2647
ATOMIC_POSITIONS angstrom
Li 2.4975 0.0000 0.0000
Li 0.0000 2.8901 0.0000
Li 2.4975 0.0000 3.6323
Li 0.0000 2.8901 3.6323
O 3.3034 1.7476 0.3702
O 4.1890 4.6377 0.3702
O 2.0450 0.0467 1.8162
O 0.4525 2.9367 1.8162
O 3.3034 1.7476 3.2621
O 4.1890 4.6377 3.2621
O 0.8059 1.1424 4.0026
O 1.6916 4.0325 4.0026
O 4.5425 2.8434 5.4485
O 2.9500 5.7335 5.4485
O 0.8059 1.1424 6.8944
O 1.6916 4.0325 6.8944
Tb 4.8020 0.6171 1.8162
Tb 2.6904 3.5072 1.8162
Tb 2.3045 2.2730 5.4485
Tb 0.1929 5.1630 5.4485
```

Computed properties:
**Energy**: -6.296 eV per atom
**V**: 52.4 Å³/f.u.

(6)
Below is a relaxed structure of Li4TbTcO6, with properties calculated at the GGA-PBE level. Values from VASP.

```
&SYSTEM
  ibrav = 0, nat = 12, ntyp = 4
/
ATOMIC_SPECIES
Li 6.94 Li.upf
O 16.00 O.upf
Tb 158.93 Tb.upf
Tc 98.00 Tc.upf
CELL_PARAMETERS angstrom
-2.6726 -4.6615 -0.0257
-2.6726 4.6615 -0.0257
1.7667 0.0000 -4.8703
ATOMIC_POSITIONS angstrom
Li -2.6726 0.0054 -0.0257
Li -1.7892 4.4471 -2.4608
Li -1.7892 -1.3855 -2.4608
Li -1.7892 1.4990 -2.4608
O -3.7190 -1.5042 -1.1692
O -3.4345 1.7022 -1.2128
O -0.8337 -0.1421 -1.2069
O -2.7448 -0.1421 -3.7148
O -0.1440 1.7022 -3.7088
O 0.1406 -1.5042 -3.7525
Tb -2.6726 -3.1251 -0.0257
Tc -2.6726 3.1089 -0.0257
```

Computed properties:
**Energy**: -6.472 eV per atom
**V**: 121.8 Å³/f.u.

(7)
Below is a relaxed structure of LiTbZnO3, with properties calculated at the GGA-PBE level. Values from VASP.

```
&SYSTEM
  ibrav = 0, nat = 12, ntyp = 4
/
ATOMIC_SPECIES
Li 6.94 Li.upf
O 16.00 O.upf
Tb 158.93 Tb.upf
Zn 65.41 Zn.upf
CELL_PARAMETERS angstrom
-2.2583 -4.7696 -4.7892
-1.8595 -6.5424 -2.1271
-5.9114 1.1444 1.6478
ATOMIC_POSITIONS angstrom
Li -2.8467 -3.4742 -1.8872
Li -7.1825 -6.6934 -3.3813
O -0.8270 -1.7911 -1.0689
O -3.4664 -5.1765 -2.9279
O -3.4558 -1.2822 -0.3361
O -6.5734 -8.8854 -4.9324
O -6.5629 -4.9911 -2.3405
O -9.2022 -8.3765 -4.1996
Tb 0.0000 0.0000 0.0000
Tb -2.9557 0.5722 0.8239
Zn -4.2794 -7.4101 -4.2936
Zn -5.7498 -2.7575 -0.9749
```

Computed properties:
**Energy**: -5.860 eV per atom
**V**: 69.8 Å³/f.u.

(8)
Below is a relaxed structure of LiTcO3, with properties calculated at the GGA-PBE level. Values from VASP.

```
&SYSTEM
  ibrav = 0, nat = 10, ntyp = 3
/
ATOMIC_SPECIES
Li 6.94 Li.upf
O 16.00 O.upf
Tc 98.00 Tc.upf
CELL_PARAMETERS angstrom
2.6103 -1.5071 -4.3010
-2.6103 -1.5071 -4.3010
0.0000 3.0141 -4.3010
ATOMIC_POSITIONS angstrom
Li 0.0000 0.0000 0.0000
Li 0.0000 0.0000 -6.4515
O 0.8934 -1.4666 -5.3763
O -0.8235 -1.5071 -7.5268
O -1.7169 -0.0404 -5.3763
O 1.7169 0.0404 -7.5268
O 0.8234 1.5071 -5.3763
O -0.8934 1.4667 -7.5268
Tc 0.0000 0.0000 -3.2258
Tc 0.0000 0.0000 -9.6773
```

Computed properties:
**Energy**: -6.678 eV per atom
**V**: 50.8 Å³/f.u.

(9)
Below is a relaxed structure of LiTcO3, with properties calculated at the GGA-PBE level. Values from VASP.

```
&SYSTEM
  ibrav = 0, nat = 20, ntyp = 3
/
ATOMIC_SPECIES
Li 6.94 Li.upf
O 16.00 O.upf
Tc 98.00 Tc.upf
CELL_PARAMETERS angstrom
5.0291 0.0000 0.0000
0.0000 5.2627 0.0000
0.0000 0.0000 7.2985
ATOMIC_POSITIONS angstrom
Li 4.9565 0.2624 1.8246
Li 2.5872 2.8938 1.8246
Li 2.4419 2.3689 5.4739
Li 0.0726 5.0003 5.4739
O 3.4296 1.6306 0.4645
O 4.1141 4.2619 0.4645
O 0.6462 2.4470 1.8246
O 1.8684 5.0784 1.8246
O 3.4296 1.6306 3.1847
O 4.1141 4.2619 3.1847
O 0.9151 1.0008 4.1138
O 1.5995 3.6321 4.1138
O 3.1607 0.1843 5.4739
O 4.3830 2.8156 5.4739
O 0.9151 1.0008 6.8340
O 1.5995 3.6321 6.8340
Tc 2.5146 0.0000 0.0000
Tc 0.0000 2.6313 0.0000
Tc 2.5146 0.0000 3.6493
Tc 0.0000 2.6313 3.6493
```

Computed properties:
**Energy**: -7.005 eV per atom
**V**: 48.3 Å³/f.u.

(10)
Below is a relaxed structure of LiTc2O6, with properties calculated at the GGA-PBE level. Values from VASP.

```
&SYSTEM
  ibrav = 0, nat = 9, ntyp = 3
/
ATOMIC_SPECIES
Li 6.94 Li.upf
O 16.00 O.upf
Tc 98.00 Tc.upf
CELL_PARAMETERS angstrom
0.2266 3.2121 3.9443
3.5586 -3.5187 -0.9391
1.5603 3.2073 -3.3560
ATOMIC_POSITIONS angstrom
Li 3.1408 0.5048 -0.8614
O 3.8159 -0.8232 0.5714
O 2.5799 1.7682 2.4507
O 1.2634 0.7244 -0.2006
O 4.1082 2.1237 -0.1883
O 1.4974 3.6944 -0.9427
O 2.8138 1.1298 -2.8042
Tc 0.7030 2.2498 3.2462
Tc 3.1049 -2.6022 -0.2742
```

Computed properties:
**Energy**: -7.225 eV per atom
**V**: 103.7 Å³/f.u.

(11)
Below is a relaxed structure of LiTcO3, with properties calculated at the GGA-PBE level. Values from VASP.

```
&SYSTEM
  ibrav = 0, nat = 10, ntyp = 3
/
ATOMIC_SPECIES
Li 6.94 Li.upf
O 16.00 O.upf
Tc 98.00 Tc.upf
CELL_PARAMETERS angstrom
2.9674 3.9769 -1.8154
4.0484 1.9767 2.7605
5.0227 -0.6897 -1.4880
ATOMIC_POSITIONS angstrom
Li 3.0096 1.3160 -0.1357
Li 9.0289 3.9479 -0.4072
O 4.3770 3.6229 -0.5361
O 6.6466 4.0538 0.8833
O 5.2793 1.7469 1.2836
O 6.7592 3.5169 -1.8266
O 5.3918 1.2100 -1.4263
O 7.6615 1.6410 -0.0069
Tc 0.0000 0.0000 0.0000
Tc 6.0192 2.6319 -0.2715
```

Computed properties:
**Energy**: -7.012 eV per atom
**V**: 49.6 Å³/f.u.

(12)
Below is a relaxed structure of LiTcO3, with properties calculated at the GGA-PBE level. Values from VASP.

```
&SYSTEM
  ibrav = 0, nat = 5, ntyp = 3
/
ATOMIC_SPECIES
Li 6.94 Li.upf
O 16.00 O.upf
Tc 98.00 Tc.upf
CELL_PARAMETERS angstrom
-3.1761 -0.3247 0.2583
0.3698 -1.3105 2.8993
-0.2890 4.4607 2.0532
ATOMIC_POSITIONS angstrom
Li -1.5420 1.3256 2.5653
O -1.4354 -0.3200 1.8079
O -1.7896 2.9484 1.5610
O -0.0166 2.4555 2.8815
Tc -0.2639 4.0737 1.8751
```

Computed properties:
**Energy**: -6.413 eV per atom
**V**: 50.5 Å³/f.u.

(13)
Below is a relaxed structure of Li2Tc2O5, with properties calculated at the GGA-PBE level. Values from VASP.

```
&SYSTEM
  ibrav = 0, nat = 9, ntyp = 3
/
ATOMIC_SPECIES
Li 6.94 Li.upf
O 16.00 O.upf
Tc 98.00 Tc.upf
CELL_PARAMETERS angstrom
6.8064 0.0000 0.0000
0.0000 3.8088 0.0000
0.0000 0.0000 3.8088
ATOMIC_POSITIONS angstrom
Li 0.0000 0.0000 0.0000
Li 3.4032 0.0000 0.0000
O 1.3548 1.9044 0.0000
O 5.4516 1.9044 0.0000
O 1.3548 0.0000 1.9044
O 5.4516 0.0000 1.9044
O 3.4032 1.9044 1.9044
Tc 1.4031 1.9044 1.9044
Tc 5.4033 1.9044 1.9044
```

Computed properties:
**Energy**: -6.852 eV per atom
**V**: 98.7 Å³/f.u.

(14)
Below is a relaxed structure of LiTcO3, with properties calculated at the GGA-PBE level. Values from VASP.

```
&SYSTEM
  ibrav = 0, nat = 10, ntyp = 3
/
ATOMIC_SPECIES
Li 6.94 Li.upf
O 16.00 O.upf
Tc 98.00 Tc.upf
CELL_PARAMETERS angstrom
-1.0028 3.0444 -3.6145
1.9691 -4.3204 -0.8919
-4.8144 -1.5517 1.0577
ATOMIC_POSITIONS angstrom
Li -0.4430 -5.0839 -0.3676
Li -1.5827 -2.2595 -1.4117
O -0.7585 -0.6429 -0.7203
O 0.0271 -2.6331 -2.6051
O -1.0144 -0.1270 -3.5588
O -3.8259 -0.2413 -0.7991
O -2.8311 -2.7818 0.1128
O -3.0457 -2.2933 -2.6883
Tc -0.4212 1.6033 -3.0818
Tc 1.4310 -2.9869 -1.3849
```

Computed properties:
**Energy**: -6.962 eV per atom
**V**: 49.5 Å³/f.u.

(15)
Below is a relaxed structure of LiTcO3, with properties calculated at the GGA-PBE level. Values from VASP.

```
&SYSTEM
  ibrav = 0, nat = 10, ntyp = 3
/
ATOMIC_SPECIES
Li 6.94 Li.upf
O 16.00 O.upf
Tc 98.00 Tc.upf
CELL_PARAMETERS angstrom
-2.4446 -4.4006 -0.1245
-2.4446 4.4006 -0.1245
1.4303 0.0000 -4.7220
ATOMIC_POSITIONS angstrom
Li -1.7294 -1.3626 -2.4855
Li -1.7294 1.3626 -2.4855
O -3.3340 -1.6814 -1.2441
O -3.3340 1.6814 -1.2441
O -0.7325 0.0000 -1.3253
O -2.7264 0.0000 -3.6458
O -0.1249 -1.6814 -3.7269
O -0.1249 1.6814 -3.7269
Tc -2.4446 -3.1720 -0.1245
Tc -2.4446 3.1720 -0.1245
```

Computed properties:
**Energy**: -7.011 eV per atom
**V**: 51.6 Å³/f.u.

(16)
Below is a relaxed structure of LiTcO3, with properties calculated at the GGA-PBE level. Values from VASP.

```
&SYSTEM
  ibrav = 0, nat = 10, ntyp = 3
/
ATOMIC_SPECIES
Li 6.94 Li.upf
O 16.00 O.upf
Tc 98.00 Tc.upf
CELL_PARAMETERS angstrom
-2.4196 4.1908 0.0000
2.4196 4.1908 0.0000
0.0000 2.7939 -4.8606
ATOMIC_POSITIONS angstrom
Li 0.0000 8.3816 -2.2156
Li 0.0000 2.7939 -2.6449
O -0.8452 6.9819 -1.1588
O 1.6300 5.6226 -1.1588
O -0.7848 4.1587 -1.1588
O 0.7848 7.0168 -3.7018
O -1.6300 5.5529 -3.7018
O 0.8452 4.1936 -3.7018
Tc 0.0000 5.5878 -0.1506
Tc 0.0000 5.5878 -4.7099
```

Computed properties:
**Energy**: -6.931 eV per atom
**V**: 49.3 Å³/f.u.

(17)
Below is a relaxed structure of Li6Tc2O7, with properties calculated at the GGA-PBE level. Values from VASP.

```
&SYSTEM
  ibrav = 0, nat = 15, ntyp = 3
/
ATOMIC_SPECIES
Li 6.94 Li.upf
O 16.00 O.upf
Tc 98.00 Tc.upf
CELL_PARAMETERS angstrom
-4.1213 -2.0888 1.9016
4.1496 -4.1165 0.1169
2.2175 2.0854 4.1167
ATOMIC_POSITIONS angstrom
Li 0.0339 -6.0763 1.9937
Li -1.8812 -4.0244 1.9253
Li 0.0572 -1.9447 2.1963
Li -1.9826 -2.1972 3.8167
Li -0.0441 -0.1175 4.0877
Li 2.1904 -2.1822 4.1362
O -2.0370 -2.0050 1.9005
O 0.0404 -4.0126 1.9624
O -0.0333 0.0223 1.9741
O 2.2293 -2.0754 2.1373
O 2.1839 -4.2459 4.1675
O 0.1117 -2.1369 4.1125
O 4.2815 -2.0421 4.1725
Tc 2.0467 -4.1668 2.1272
Tc 0.1775 -4.0916 4.0027
```

Computed properties:
**Energy**: -6.185 eV per atom
**V**: 139.8 Å³/f.u.

(18)
Below is a relaxed structure of LiTcO3, with properties calculated at the GGA-PBE level. Values from VASP.

```
&SYSTEM
  ibrav = 0, nat = 10, ntyp = 3
/
ATOMIC_SPECIES
Li 6.94 Li.upf
O 16.00 O.upf
Tc 98.00 Tc.upf
CELL_PARAMETERS angstrom
-2.3713 1.2170 4.6336
1.2068 4.3263 2.8984
-3.3024 4.1550 0.6358
ATOMIC_POSITIONS angstrom
Li -0.0549 0.1192 0.1004
Li -2.2883 4.9683 4.1843
O -0.4037 3.7130 3.9962
O -2.1157 4.3015 6.0489
O -2.9532 2.8771 3.5944
O -1.1552 6.5724 3.8778
O -1.8673 4.7522 1.9619
O -4.1867 5.3176 3.7098
Tc -1.3397 2.9086 2.4496
Tc -3.5731 7.7578 6.5336
```

Computed properties:
**Energy**: -7.026 eV per atom
**V**: 49.4 Å³/f.u.

(19)
Below is a relaxed structure of Li7TcO6, with properties calculated at the GGA-PBE level. Values from VASP.

```
&SYSTEM
  ibrav = 0, nat = 14, ntyp = 3
/
ATOMIC_SPECIES
Li 6.94 Li.upf
O 16.00 O.upf
Tc 98.00 Tc.upf
CELL_PARAMETERS angstrom
-3.0608 -1.2317 -4.3834
3.4420 -3.7321 2.0785
-1.2955 -2.4304 5.0209
ATOMIC_POSITIONS angstrom
Li 1.1769 -2.9432 0.0054
Li 1.2423 -4.9247 1.4040
Li -1.0669 -3.5975 -0.6459
Li 0.1839 -1.7709 1.8829
Li -1.0362 -5.3954 0.9844
Li -0.0078 -3.7679 3.1334
Li -1.9921 -2.6959 1.3342
O 0.4004 -4.8364 -0.3051
O 1.5396 -3.1037 2.0364
O -0.6105 -1.9057 0.1069
O -0.1501 -5.5622 2.7118
O -2.5120 -4.3857 0.5146
O -1.3556 -2.3638 3.0379
Tc -4.3456 -3.6573 0.6287
```

Computed properties:
**Energy**: -5.588 eV per atom
**V**: 124.4 Å³/f.u.

(20)
Below is a relaxed structure of Li8Tc4O11, with properties calculated at the GGA-PBE level. Values from VASP.

```
&SYSTEM
  ibrav = 0, nat = 23, ntyp = 3
/
ATOMIC_SPECIES
Li 6.94 Li.upf
O 16.00 O.upf
Tc 98.00 Tc.upf
CELL_PARAMETERS angstrom
9.7421 -1.6219 2.1703
-2.6251 -3.7189 -2.1669
0.4976 3.1456 -4.0092
ATOMIC_POSITIONS angstrom
Li 5.0341 -1.9709 -1.9648
Li 7.2958 -3.6657 -1.9760
Li 5.1619 0.7520 -0.9302
Li 7.5127 -0.9433 -0.9264
Li 2.6551 -0.3072 -2.0800
Li 0.0984 -1.1929 -3.2084
Li 1.5910 0.7376 -4.5004
Li 6.5258 0.1299 -3.3972
O 8.0924 -2.9483 -0.0437
O 5.4448 -3.9874 -1.2137
O 3.0472 -2.1868 -1.2227
O 5.4896 -1.1218 -0.1190
O 0.3466 -3.2263 -2.4105
O 6.9175 -1.8088 -2.6562
O 2.0737 -1.1030 -3.8725
O 7.1334 0.9894 -1.6491
O 4.5134 -0.0122 -2.7887
O -0.2919 0.8490 -3.8548
O 2.1366 1.7899 -2.8137
Tc 3.5618 -1.2979 0.5128
Tc 8.7957 -2.0625 1.6860
Tc -1.5828 -3.3107 -1.8039
Tc 4.0454 -0.9499 -4.5298
```

Computed properties:
**Energy**: -6.467 eV per atom
**V**: 216.6 Å³/f.u.